! HfSnAs2 PBE relaxed; values from VASP
&SYSTEM
  ibrav = 0, nat = 8, ntyp = 3
/
ATOMIC_SPECIES
As 74.92 As.upf
Hf 178.49 Hf.upf
Sn 118.71 Sn.upf
CELL_PARAMETERS angstrom
6.331 0.000 0.000
0.000 6.331 0.000
3.165 3.165 6.190
ATOMIC_POSITIONS crystal
As 0.090 0.625 0.250
Hf 0.750 0.250 0.500
Sn 0.250 0.750 0.500
Sn 0.500 0.500 0.000
Hf 0.000 0.000 0.000
As 0.875 0.910 0.750
As 0.375 0.340 0.750
As 0.660 0.125 0.250
! - V (A^3/atom) = 31.011
! - total magnetization (μB per formula unit) = 0.00
! - final energy (eV/atom) = -5.978
! - space-group type = I-42d
! - density of states at the Fermi level (states/eV per cell) = 1.48